DFT (GGA-PBE) results for an optimized crystal structure of PuThFe.

E_form ... 0.11 eV per atom
Size of the total moment ... 8.30 μB per cell
Excess energy over the best structure of this formula in the dataset ... 0.05 eV per formula unit
Crystal system ... monoclinic
Symmetry ... No. 12
Density ... 13.17 Mg/m³

Unit cell a=5.980 b=5.980 c=6.783 alpha=97.39 beta=97.39 gamma=33.91
Fractional positions:
Pu (0.130, 0.130, 0.081)
Pu (0.870, 0.870, 0.919)
Th (0.151, 0.151, 0.618)
Th (0.849, 0.849, 0.382)
Fe (0.458, 0.458, 0.709)
Fe (0.542, 0.542, 0.291)